First-principles (PBE-GGA) data for crystalline Sr5Cd4 at its relaxed geometry, as listed in Alexandria.

Output
- energy above the most stable polymorph in this dataset (meV/atom) = 31
- calculated volume (Å³/atom) = 37.086
- formation enthalpy at 0 K (meV/atom) = -232

Geometry as extended XYZ:
```
18
Lattice="10.290 0.000 0.000 -5.145 8.911 0.000 0.000 0.000 7.280" Properties=species:S:1:pos:R:3 pbc="T T T"
Sr -1.438 2.491 1.820
Sr -3.707 6.421 5.460
Sr 2.876 0.000 1.820
Sr 1.438 2.491 5.460
Sr 0.000 5.941 0.000
Sr 0.000 5.941 3.640
Sr 5.145 2.970 0.000
Sr 5.145 2.970 3.640
Sr 7.414 0.000 5.460
Sr 3.707 6.421 1.820
Cd 0.000 0.000 0.000
Cd 0.000 0.000 3.640
Cd -1.983 3.435 5.460
Cd -3.162 5.476 1.820
Cd 3.966 0.000 5.460
Cd 1.983 3.435 1.820
Cd 6.324 0.000 1.820
Cd 3.162 5.476 5.460
```